Entry 1:
The following is a PBE-GGA calculation of crystalline TaAsBr2 at its relaxed geometry, from Alexandria.

Total moment = 0.00 μB per cell
Volume = 28.96 Å³ per atom
Uncorrected energy = -0.392 Ry per atom
Raw formation energy = -35.7 kJ per mole of atoms
ΔE to the lowest computed polymorph = 0.000 eV/atom

Cell: 4.994 4.994 7.713 Å, 108.31 108.31 39.72°
Positions (direct):
Ta  0.000  0.000  0.000
As  0.295  0.295  0.000
Br  0.485  0.485  0.724
Br  0.636  0.636  0.276

=====

Entry 2:
The following is a PBE-GGA calculation of crystalline TaAsBr2 at its relaxed geometry, from Alexandria.

Total moment = 0.93 μB per cell
Volume = 21.35 Å³ per atom
Uncorrected energy = -0.319 Ry per atom
Raw formation energy = 60.1 kJ per mole of atoms
ΔE to the lowest computed polymorph = 0.993 eV/atom

Cell: 5.603 5.603 3.556 Å, 107.16 107.16 114.27°
Positions (direct):
Ta  0.000  0.000  0.000
As  0.500  0.500  0.000
Br  0.000  0.500  0.500
Br  0.500  0.000  0.500